Entry 1:
5
Lattice="-1.5148 -3.3419 1.6685 1.7047 0.9835 3.5176 -4.8682 2.9700 1.5289" Properties=species:S:1:pos:R:3 comment="SrGaTcN2, relaxed, DFT GGA-PBE" dos_at_fermi_per_ev_fu=3.671 spacegroup="No. 123" total_energy_ev_per_atom=-5.5038 pbc="T T T"
Sr -2.4341 1.4850 0.7645
Ga -2.3391 0.3058 3.3575
N 0.8524 0.4917 1.7588
N -0.7574 -1.6709 0.8342
Tc 0.0000 0.0000 0.0000



Entry 2:
5
Lattice="-0.4016 1.7395 5.0689 4.4431 -2.7339 1.2902 2.1765 3.1142 -0.8963" Properties=species:S:1:pos:R:3 comment="Sr2GaTcN, relaxed, DFT GGA-PBE" dos_at_fermi_per_ev_fu=2.975 spacegroup="No. 123" total_energy_ev_per_atom=-5.3009 pbc="T T T"
Ga 3.1090 1.0599 2.7314
Sr -0.2008 0.8697 2.5344
Sr 2.2216 -1.3670 0.6451
N 0.0000 0.0000 0.0000
Tc 1.0883 1.5571 -0.4481



no.,magnetic moment (μB/f.u.)
1,0.130
2,0.000